Record 1
Entry from the Alexandria database: crystalline CeEr2Tm7 at its relaxed geometry (GGA-PBE).

The structure in POSCAR format:
```
CeEr2Tm7
1.0
3.1832 -14.1925 0.0000
3.1832 14.1925 0.0000
0.0000 0.0000 3.4458
Ce Er Tm
1 2 7
Cartesian
0.0000 0.0000 0.0000 Ce
3.1832 5.9287 1.7229 Er
3.1832 -5.9287 1.7229 Er
1.5765 2.8148 1.7229 Tm
3.1832 8.9097 0.0000 Tm
1.5765 -2.8148 1.7229 Tm
3.1832 0.0000 1.7229 Tm
4.7898 2.8148 1.7229 Tm
3.1832 -8.9097 0.0000 Tm
4.7898 -2.8148 1.7229 Tm
```

Summary:
Formation enthalpy at 0 K in eV/atom: 0.193
Space-group type: No. 65
Spin magnetization in Bohr magnetons per cell: 0.97

Record 2
Entry from the Alexandria database: crystalline Ce2ErTm at its relaxed geometry (GGA-PBE).

The structure in POSCAR format:
```
Ce2ErTm
1.0
4.8928 0.0000 0.0000
0.0000 4.8928 0.0000
0.0000 0.0000 4.9801
Ce Er Tm
2 1 1
Cartesian
0.0000 2.4464 0.0000 Ce
2.4464 0.0000 0.0000 Ce
0.0000 0.0000 2.4900 Er
2.4464 2.4464 2.4900 Tm
```

Summary:
Formation enthalpy at 0 K in eV/atom: 0.101
Offset from the most stable computed form in eV/atom: 0.0196
Space-group type: No. 123
Spin magnetization in Bohr magnetons per cell: 1.53

Record 3
Entry from the Alexandria database: crystalline Ce2ErTm at its relaxed geometry (GGA-PBE).

The structure in POSCAR format:
```
Ce2ErTm
1.0
1.7292 0.9984 11.4302
-1.7292 0.9984 11.4302
0.0000 -1.9967 11.4302
Ce Er Tm
2 1 1
Cartesian
0.0000 0.0000 0.0000 Ce
0.0000 0.0000 5.7012 Ce
0.0000 0.0000 14.2381 Er
0.0000 0.0000 20.0456 Tm
```

Summary:
Formation enthalpy at 0 K in eV/atom: 0.087
Offset from the most stable computed form in eV/atom: 0.0049
Space-group type: No. 160
Spin magnetization in Bohr magnetons per cell: 1.38

Record 4
Entry from the Alexandria database: crystalline CeEr3Tm at its relaxed geometry (GGA-PBE).

The structure in POSCAR format:
```
CeEr3Tm
1.0
6.0968 0.0000 0.0000
0.0000 9.2255 0.0000
-3.7255 0.0000 10.9869
Ce Er Tm
4 12 4
Cartesian
0.3709 2.1727 1.6472 Ce
-1.4919 2.4401 7.1407 Ce
3.8632 6.7855 3.8462 Ce
2.0004 7.0529 9.3397 Ce
-2.1115 5.6305 6.9728 Er
-0.2487 8.2078 1.4793 Er
-0.4619 0.3342 4.6150 Er
-2.3247 4.2786 10.1085 Er
1.5849 5.0976 2.4016 Er
-0.2778 8.7408 7.8950 Er
2.6491 0.4848 3.0919 Er
0.7864 4.1280 8.5854 Er
4.6960 4.9470 0.8784 Er
2.8332 8.8913 6.3719 Er
2.6200 1.0177 9.5076 Er
4.4828 3.5951 4.0141 Er
0.8324 6.3310 5.4815 Tm
-1.0304 7.5073 10.9750 Tm
3.4016 1.7183 0.0120 Tm
1.5389 2.8945 5.5054 Tm
```

Summary:
Formation enthalpy at 0 K in eV/atom: 0.188
Offset from the most stable computed form in eV/atom: 0.0348
Space-group type: No. 14
Spin magnetization in Bohr magnetons per cell: 4.43

Record 5
Entry from the Alexandria database: crystalline CeEr12Tm3 at its relaxed geometry (GGA-PBE).

The structure in POSCAR format:
```
CeEr12Tm3
1.0
4.9509 0.0000 0.0000
0.0000 4.9509 0.0000
0.0000 0.0000 19.8243
Ce Er Tm
1 12 3
Cartesian
0.0000 0.0000 0.0000 Ce
0.0000 2.4755 2.4718 Er
0.0000 2.4755 7.4327 Er
0.0000 2.4755 12.3916 Er
0.0000 2.4755 17.3525 Er
2.4755 0.0000 2.4718 Er
2.4755 0.0000 7.4327 Er
2.4755 0.0000 12.3916 Er
2.4755 0.0000 17.3525 Er
2.4755 2.4755 0.0000 Er
2.4755 2.4755 4.9864 Er
2.4755 2.4755 9.9121 Er
2.4755 2.4755 14.8379 Er
0.0000 0.0000 4.9380 Tm
0.0000 0.0000 9.9121 Tm
0.0000 0.0000 14.8862 Tm
```

Summary:
Formation enthalpy at 0 K in eV/atom: 0.035
Space-group type: No. 123
Spin magnetization in Bohr magnetons per cell: 0.00

Record 6
Entry from the Alexandria database: crystalline CeEr6Tm8 at its relaxed geometry (GGA-PBE).

The structure in POSCAR format:
```
CeEr6Tm8
1.0
9.2971 0.0000 0.0000
-4.6485 8.0515 0.0000
0.0000 0.0000 6.4202
Ce Er Tm
1 6 8
Cartesian
0.0000 0.0000 0.0000 Ce
-2.2682 5.4895 0.5703 Er
1.0286 3.3424 0.5703 Er
3.4089 0.7804 5.8499 Er
1.2396 7.2711 0.5703 Er
3.6199 4.7091 5.8499 Er
6.9167 2.5620 5.8499 Er
-1.3418 2.7293 2.6153 Tm
-1.6139 7.8489 2.6153 Tm
0.0000 5.3677 4.2993 Tm
1.6928 2.5267 3.8049 Tm
2.9558 5.5248 2.6153 Tm
4.6485 2.6838 2.1209 Tm
6.2625 0.2026 3.8049 Tm
5.9904 5.3222 3.8049 Tm
```

Summary:
Formation enthalpy at 0 K in eV/atom: 0.256
Offset from the most stable computed form in eV/atom: 0.1216
Space-group type: No. 147
Spin magnetization in Bohr magnetons per cell: 1.30

Record 7
Entry from the Alexandria database: crystalline CeErTm4 at its relaxed geometry (GGA-PBE).

The structure in POSCAR format:
```
CeErTm4
1.0
4.3723 -7.1060 0.0000
4.3723 7.1060 0.0000
-2.1396 0.0000 5.9234
Ce Er Tm
2 2 8
Cartesian
2.7675 7.0674 4.4425 Ce
3.8373 -7.0674 1.4808 Ce
3.8373 1.3086 1.4808 Er
2.7675 -1.3086 4.4425 Er
1.4849 4.3816 5.7021 Tm
1.2425 1.7278 3.7426 Tm
4.0501 4.3816 3.1829 Tm
2.3124 -1.7278 0.7809 Tm
4.2925 1.7278 5.1425 Tm
2.5548 -4.3816 2.7405 Tm
5.3623 -1.7278 2.1808 Tm
5.1199 -4.3816 0.2212 Tm
```

Summary:
Formation enthalpy at 0 K in eV/atom: 0.169
Offset from the most stable computed form in eV/atom: 0.1494
Space-group type: No. 15
Spin magnetization in Bohr magnetons per cell: 0.93

Record 8
Entry from the Alexandria database: crystalline CeEr3Tm4 at its relaxed geometry (GGA-PBE).

The structure in POSCAR format:
```
CeEr3Tm4
1.0
11.5910 -1.6964 0.0000
11.5910 1.6964 0.0000
-1.8697 0.0000 6.3126
Ce Er Tm
1 3 4
Cartesian
0.0000 0.0000 0.0000 Ce
8.4624 0.0000 0.7507 Er
10.6561 0.0000 3.1563 Er
12.8498 0.0000 5.5619 Er
5.1197 0.0000 1.5201 Tm
7.5020 0.0000 3.9891 Tm
13.8102 0.0000 2.3234 Tm
16.1926 0.0000 4.7924 Tm
```

Summary:
Formation enthalpy at 0 K in eV/atom: 0.196
Offset from the most stable computed form in eV/atom: 0.0699
Space-group type: No. 12
Spin magnetization in Bohr magnetons per cell: 1.01

Record 9
Entry from the Alexandria database: crystalline CeEr4Tm3 at its relaxed geometry (GGA-PBE).

The structure in POSCAR format:
```
CeEr4Tm3
1.0
11.1379 0.0000 0.0000
0.0000 7.1482 0.0000
0.0000 0.0000 6.1727
Ce Er Tm
2 8 6
Cartesian
0.0000 0.8912 0.0000 Ce
5.5690 6.2570 3.0863 Ce
0.0000 2.6681 3.0782 Er
0.0000 4.4769 0.0047 Er
2.7894 2.6700 1.0005 Er
2.7795 4.4782 4.0868 Er
5.5690 2.6713 3.0910 Er
5.5690 4.4801 6.1646 Er
8.3485 2.6700 1.0005 Er
8.3584 4.4782 4.0868 Er
0.0000 6.2652 3.0708 Tm
2.7811 0.8830 4.1172 Tm
2.7879 6.2652 1.0309 Tm
5.5690 0.8830 6.1571 Tm
8.3568 0.8830 4.1172 Tm
8.3500 6.2652 1.0309 Tm
```

Summary:
Formation enthalpy at 0 K in eV/atom: 0.028
Offset from the most stable computed form in eV/atom: 0.0000
Space-group type: No. 31
Spin magnetization in Bohr magnetons per cell: 2.22

Record 10
Entry from the Alexandria database: crystalline Ce2Er8Tm at its relaxed geometry (GGA-PBE).

The structure in POSCAR format:
```
Ce2Er8Tm
1.0
9.2029 -3.4697 0.0000
9.2029 3.4697 0.0000
-0.2347 0.0000 5.5085
Ce Er Tm
2 8 1
Cartesian
3.8982 0.0000 1.4124 Ce
14.2730 0.0000 4.0960 Ce
0.7976 0.0000 1.3080 Er
6.7419 1.8590 1.4556 Er
5.6146 0.0000 4.2207 Er
11.4293 1.8590 4.0528 Er
6.7419 -1.8590 1.4556 Er
12.5565 0.0000 1.2878 Er
11.4293 -1.8590 4.0528 Er
17.3735 0.0000 4.2004 Er
9.2029 0.0000 0.0000 Tm
```

Summary:
Formation enthalpy at 0 K in eV/atom: 0.211
Space-group type: No. 12
Spin magnetization in Bohr magnetons per cell: 1.61

Record 11
Entry from the Alexandria database: crystalline Ce2ErTm at its relaxed geometry (GGA-PBE).

The structure in POSCAR format:
```
Ce2ErTm
1.0
3.2134 -5.6804 0.0000
3.2134 5.6804 0.0000
-0.2322 0.0000 6.3590
Ce Er Tm
4 2 2
Cartesian
1.6450 3.0321 4.5406 Ce
4.4335 3.0321 4.9980 Ce
1.7611 -3.0321 1.3610 Ce
4.5496 -3.0321 1.8185 Ce
3.2134 0.0000 0.0000 Er
3.0973 0.0000 3.1795 Er
3.1553 5.2697 1.5898 Tm
3.0392 -5.2697 4.7693 Tm
```

Summary:
Formation enthalpy at 0 K in eV/atom: 0.167
Offset from the most stable computed form in eV/atom: 0.0856
Space-group type: No. 15
Spin magnetization in Bohr magnetons per cell: 0.00

Record 12
Entry from the Alexandria database: crystalline CeEr12Tm7 at its relaxed geometry (GGA-PBE).

The structure in POSCAR format:
```
CeEr12Tm7
1.0
5.9258 3.4212 5.2016
-5.9258 3.4212 5.2016
0.0000 -6.8425 5.2016
Ce Er Tm
1 12 7
Cartesian
0.0000 0.0000 0.0000 Ce
-1.9249 -0.5375 4.5886 Er
-0.7264 -3.1995 7.0168 Er
-3.1340 -0.9707 8.5881 Er
1.4280 -1.3982 4.5886 Er
-2.4076 2.2288 7.0168 Er
0.4969 1.9358 4.5886 Er
-0.4969 -1.9358 11.0163 Er
2.4076 -2.2288 8.5881 Er
-1.4280 1.3982 11.0163 Er
3.1340 0.9707 7.0168 Er
0.7264 3.1995 8.5881 Er
1.9249 0.5376 11.0163 Er
-5.2160 0.5452 6.4922 Tm
-3.0801 -4.2446 9.1127 Tm
2.1358 -4.7897 6.4922 Tm
0.0000 0.0000 7.8025 Tm
-2.1358 4.7898 9.1127 Tm
3.0801 4.2446 6.4922 Tm
5.2160 -0.5452 9.1127 Tm
```

Summary:
Formation enthalpy at 0 K in eV/atom: 0.253
Space-group type: No. 148
Spin magnetization in Bohr magnetons per cell: 1.16

Question: What is the formation enthalpy at 0 K in the seventh record?
Answer: 0.169 eV/atom

Question: Which formula does entry 10 have?
Answer: Ce2Er8Tm

Question: The highest spin magnetization belongs to which entry?
Answer: CeEr3Tm